(1)
{"formula": "NbGaCuW", "functional": "GGA-PBE", "state": "relaxed", "lattice_angstrom": [[6.310, 0.000, 0.000], [0.000, 6.310, 0.000], [0.000, 0.000, 6.310]], "species": ["Nb", "Nb", "Nb", "Nb", "Ga", "Ga", "Ga", "Ga", "Cu", "Cu", "Cu", "Cu", "W", "W", "W", "W"], "fractional_positions": [[0.000, 0.000, 0.000], [0.000, 0.500, 0.500], [0.500, 0.000, 0.500], [0.500, 0.500, 0.000], [0.000, 0.000, 0.500], [0.000, 0.500, 0.000], [0.500, 0.000, 0.000], [0.500, 0.500, 0.500], [0.250, 0.250, 0.750], [0.250, 0.750, 0.250], [0.750, 0.250, 0.250], [0.750, 0.750, 0.750], [0.250, 0.250, 0.250], [0.250, 0.750, 0.750], [0.750, 0.250, 0.750], [0.750, 0.750, 0.250]], "final_energy_ev_per_atom": -7.160, "space_group": "No. 216", "m_tot_mub_per_cell": 0.02}

(2)
{"formula": "NdGa6Cu6", "functional": "GGA-PBE", "state": "relaxed", "lattice_angstrom": [[-2.576, 4.307, 4.393], [2.576, -4.307, 4.393], [2.576, 4.307, -4.393]], "species": ["Nd", "Ga", "Ga", "Ga", "Ga", "Ga", "Ga", "Cu", "Cu", "Cu", "Cu", "Cu", "Cu"], "fractional_positions": [[0.000, 0.000, 0.000], [0.200, 0.700, 0.500], [0.348, 0.000, 0.348], [0.350, 0.350, 0.000], [0.650, 0.650, 0.000], [0.652, 0.000, 0.652], [0.800, 0.300, 0.500], [0.000, 0.000, 0.500], [0.000, 0.500, 0.000], [0.233, 0.500, 0.733], [0.500, 0.000, 0.000], [0.500, 0.500, 0.500], [0.767, 0.500, 0.267]], "final_energy_ev_per_atom": -3.766, "space_group": "No. 71", "m_tot_mub_per_cell": 0.00}